DFT (PBE) results for a relaxed structure of KUPaS6.

Uncorrected formation energy in eV per atom: -1.23
Space-group type: Imma (74)

extended XYZ file:
```
18
Lattice="-4.721 4.813 6.762 4.721 -4.813 6.762 4.721 4.813 -6.762" Properties=species:S:1:pos:R:3 pbc="T T T"
K 0.000 2.406 0.997
K 4.721 2.406 5.766
U 4.721 0.000 0.000
U 0.000 0.000 6.762
Pa 2.361 2.406 -3.381
Pa 2.361 -2.406 3.381
S 2.869 -0.436 1.690
S 6.573 -0.436 1.690
S 4.721 -2.406 4.518
S 4.721 2.406 0.863
S 2.869 4.377 -1.690
S 1.852 -0.436 5.073
S 2.869 5.249 1.690
S 1.852 0.436 8.452
S 0.000 2.406 5.899
S 0.000 7.219 2.244
S -1.852 5.249 5.073
S 1.852 5.249 5.073
```

***

DFT (PBE) results for a relaxed structure of KUPa2S8.

Uncorrected formation energy in eV per atom: -1.35
Space-group type: P2/m (10)

extended XYZ file:
```
12
Lattice="6.222 0.000 0.000 0.000 8.344 0.000 -0.158 0.000 6.457" Properties=species:S:1:pos:R:3 pbc="T T T"
K 0.000 0.000 0.000
U 0.000 4.172 0.000
Pa 3.032 2.081 3.228
Pa 3.032 6.263 3.228
S 1.514 2.393 1.101
S 1.514 5.951 1.101
S 1.617 4.172 4.308
S 1.652 0.000 4.012
S 4.411 0.000 2.445
S 4.447 4.172 2.149
S 4.550 2.393 5.356
S 4.550 5.951 5.356
```

***

DFT (PBE) results for a relaxed structure of K2UPaS6.

Uncorrected formation energy in eV per atom: -1.44
Space-group type: P4mm (99)

extended XYZ file:
```
10
Lattice="7.400 0.000 0.000 0.000 7.400 0.000 0.000 0.000 5.233" Properties=species:S:1:pos:R:3 pbc="T T T"
K 0.000 3.700 0.000
K 3.700 0.000 0.000
U 0.000 0.000 2.628
Pa 3.700 3.700 2.628
S 0.000 0.000 0.012
S 1.843 1.843 2.628
S 1.843 5.557 2.628
S 3.700 3.700 0.011
S 5.557 1.843 2.628
S 5.557 5.557 2.628
```

***

DFT (PBE) results for a relaxed structure of K2UPaS4.

Uncorrected formation energy in eV per atom: -1.44
Space-group type: P2/m (10)

extended XYZ file:
```
8
Lattice="6.945 0.000 0.000 0.000 4.002 0.000 -2.309 0.000 7.525" Properties=species:S:1:pos:R:3 pbc="T T T"
K 0.000 0.000 0.000
K 3.472 2.001 0.000
U -1.154 2.001 3.763
Pa 2.318 0.000 3.763
S 0.016 0.000 5.317
S 1.171 2.001 2.195
S 3.466 2.001 5.330
S 4.620 0.000 2.208
```

***

DFT (PBE) results for a relaxed structure of KU2PaS8.

Uncorrected formation energy in eV per atom: -1.25
Space-group type: P2/m (10)

extended XYZ file:
```
12
Lattice="6.211 0.000 0.000 0.000 8.281 0.000 -0.161 0.000 6.468" Properties=species:S:1:pos:R:3 pbc="T T T"
K 0.000 0.000 0.000
U 3.025 2.069 3.234
U 3.025 6.212 3.234
Pa 0.000 4.141 0.000
S 1.520 2.349 1.120
S 1.520 5.932 1.120
S 1.617 4.141 4.305
S 1.667 0.000 4.023
S 4.383 0.000 2.445
S 4.432 4.141 2.164
S 4.529 2.349 5.349
S 4.529 5.932 5.349
```

***

DFT (PBE) results for a relaxed structure of K3Pa3VS8.

Uncorrected formation energy in eV per atom: -1.42
Space-group type: R-3m (166)

extended XYZ file:
```
15
Lattice="3.912 2.258 7.620 -3.912 2.258 7.620 0.000 -4.517 7.620" Properties=species:S:1:pos:R:3 pbc="T T T"
K -1.956 -1.129 7.620
K -1.956 1.129 15.239
K 0.000 2.258 7.619
Pa -3.912 0.000 11.429
Pa -1.956 1.129 3.810
Pa 1.956 1.129 3.810
V 0.000 0.000 11.429
S 0.000 0.000 5.412
S -1.843 -1.064 12.885
S 0.000 -2.128 9.973
S -1.843 1.064 9.973
S 1.843 -1.064 12.885
S 0.000 2.128 12.885
S 1.843 1.064 9.973
S 0.000 0.000 17.446
```

***

DFT (PBE) results for a relaxed structure of K4Y3PaS8.

Uncorrected formation energy in eV per atom: -1.77
Space-group type: R-3m (166)

extended XYZ file:
```
16
Lattice="4.055 2.341 7.393 -4.055 2.341 7.393 0.000 -4.683 7.393" Properties=species:S:1:pos:R:3 pbc="T T T"
K 0.000 0.000 0.000
K -2.028 -1.171 7.393
K -2.028 1.171 14.785
K 0.000 2.341 7.393
Y -4.055 0.000 11.089
Y -2.028 1.171 3.696
Y 2.028 1.171 3.696
Pa 0.000 0.000 11.089
S 0.000 0.000 5.198
S -2.019 -1.166 12.597
S 0.000 -2.332 9.581
S -2.019 1.166 9.581
S 2.019 -1.166 12.597
S 0.000 2.332 12.597
S 2.019 1.166 9.581
S 0.000 0.000 16.980
```

***

DFT (PBE) results for a relaxed structure of K3Y3PaS8.

Uncorrected formation energy in eV per atom: -1.84
Space-group type: R-3m (166)

extended XYZ file:
```
15
Lattice="4.044 2.335 7.482 -4.044 2.335 7.482 0.000 -4.669 7.482" Properties=species:S:1:pos:R:3 pbc="T T T"
K -2.022 -1.167 7.482
K -2.022 1.167 14.964
K 0.000 2.335 7.482
Y -4.044 0.000 11.223
Y -2.022 1.167 3.741
Y 2.022 1.167 3.741
Pa 0.000 0.000 11.223
S 0.000 0.000 5.240
S -1.999 -1.154 12.694
S 0.000 -2.308 9.752
S -1.999 1.154 9.752
S 1.999 -1.154 12.694
S 0.000 2.308 12.694
S 1.999 1.154 9.752
S 0.000 0.000 17.206
```

***

DFT (PBE) results for a relaxed structure of K3Zr3PaS8.

Uncorrected formation energy in eV per atom: -1.55
Space-group type: C2/m (12)

extended XYZ file:
```
15
Lattice="6.515 -3.765 0.000 6.515 3.765 0.000 -4.340 0.000 7.616" Properties=species:S:1:pos:R:3 pbc="T T T"
K 0.000 0.000 0.000
K 3.257 1.882 0.000
K 3.257 -1.882 0.000
Zr 1.087 1.882 3.808
Zr 1.087 -1.882 3.808
Zr 4.345 0.000 3.808
Pa -2.170 0.000 3.808
S 0.072 0.000 5.343
S 3.227 1.825 5.342
S 2.171 0.000 2.294
S 5.462 1.825 2.273
S 3.227 -1.825 5.342
S 6.519 0.000 5.322
S 5.462 -1.825 2.273
S 8.618 0.000 2.273
```

***

DFT (PBE) results for a relaxed structure of K3Zr2PaS6.

Uncorrected formation energy in eV per atom: -1.51
Space-group type: C2/m (12)

extended XYZ file:
```
12
Lattice="3.308 -5.727 0.000 3.308 5.727 0.000 -2.204 0.000 7.517" Properties=species:S:1:pos:R:3 pbc="T T T"
K 0.000 0.000 0.000
K 3.308 1.908 0.000
K 3.308 -1.908 0.000
Zr 2.206 3.820 3.758
Zr 2.206 -3.820 3.758
Pa 2.206 0.000 3.758
S 1.087 1.938 2.227
S -0.031 0.000 5.290
S 1.087 -1.938 2.227
S 3.326 1.938 5.290
S 4.444 0.000 2.227
S 3.326 -1.938 5.290
```

***

DFT (PBE) results for a relaxed structure of K2ZrPaS4.

Uncorrected formation energy in eV per atom: -1.49
Space-group type: P2/m (10)

extended XYZ file:
```
8
Lattice="6.649 0.000 0.000 0.000 3.889 0.000 -2.244 0.000 7.533" Properties=species:S:1:pos:R:3 pbc="T T T"
K 0.000 0.000 0.000
K 3.325 1.944 0.000
Zr -1.122 1.944 3.766
Pa 2.203 0.000 3.766
S -0.072 0.000 5.288
S 1.043 1.944 2.197
S 3.362 1.944 5.335
S 4.478 0.000 2.245
```

***

DFT (PBE) results for a relaxed structure of KZrPa2S8.

Uncorrected formation energy in eV per atom: -1.28
Space-group type: P2/m (10)

extended XYZ file:
```
12
Lattice="6.271 0.000 0.000 0.000 8.405 0.000 -0.164 0.000 6.326" Properties=species:S:1:pos:R:3 pbc="T T T"
K 0.000 0.000 0.000
Zr 0.000 4.202 0.000
Pa 3.053 2.088 3.163
Pa 3.053 6.317 3.163
S 1.312 2.452 1.282
S 1.312 5.953 1.282
S 1.746 4.202 4.409
S 1.849 0.000 4.175
S 4.258 0.000 2.151
S 4.361 4.202 1.917
S 4.794 2.452 5.044
S 4.794 5.953 5.044
```

***

DFT (PBE) results for a relaxed structure of KPaSb2.

Uncorrected formation energy in eV per atom: -0.40
E above lowest polymorph in eV/atom: 0.062
Space-group type: P4/mmm (123)

extended XYZ file:
```
4
Lattice="3.942 0.000 0.000 0.000 3.942 0.000 0.000 0.000 8.263" Properties=species:S:1:pos:R:3 pbc="T T T"
K 0.000 0.000 0.000
Pa 0.000 0.000 4.131
Sb 1.971 1.971 2.516
Sb 1.971 1.971 5.746
```

***

DFT (PBE) results for a relaxed structure of KPaSb2.

Uncorrected formation energy in eV per atom: -0.46
E above lowest polymorph in eV/atom: 0.000
Space-group type: R-3m (166)

extended XYZ file:
```
4
Lattice="2.280 1.317 8.119 -2.280 1.317 8.119 0.000 -2.633 8.119" Properties=species:S:1:pos:R:3 pbc="T T T"
K 0.000 0.000 0.000
Pa 0.000 0.000 12.178
Sb 0.000 0.000 5.642
Sb 0.000 0.000 18.715
```

***

DFT (PBE) results for a relaxed structure of KPaSb3.

Uncorrected formation energy in eV per atom: -0.07
Space-group type: Pm-3m (221)

extended XYZ file:
```
5
Lattice="5.934 0.000 0.000 0.000 5.934 0.000 0.000 0.000 5.934" Properties=species:S:1:pos:R:3 pbc="T T T"
K 0.000 0.000 0.000
Pa 2.967 2.967 2.967
Sb 0.000 2.967 2.967
Sb 2.967 0.000 2.967
Sb 2.967 2.967 0.000
```

***

DFT (PBE) results for a relaxed structure of K2PaSbSe5.

Uncorrected formation energy in eV per atom: -1.03
Space-group type: Cmc2_1 (36)

extended XYZ file:
```
18
Lattice="2.197 -9.120 0.000 2.197 9.120 0.000 0.000 0.000 15.094" Properties=species:S:1:pos:R:3 pbc="T T T"
K 2.197 7.397 7.547
K 2.197 6.579 2.239
K 2.197 -6.579 9.786
K 2.197 -7.397 0.000
Pa 2.197 5.158 13.153
Pa 2.197 -5.158 5.606
Sb 2.197 0.670 4.155
Sb 2.197 -0.670 11.702
Se 2.197 7.883 13.551
Se 2.197 4.113 7.378
Se 2.197 3.410 3.765
Se 2.197 2.574 12.520
Se 2.197 0.051 9.273
Se 2.197 -0.051 1.726
Se 2.197 -2.574 4.973
Se 2.197 -3.410 11.312
Se 2.197 -4.113 14.925
Se 2.197 -7.883 6.004
```

***

DFT (PBE) results for a relaxed structure of K3PaSb2Se6.

Uncorrected formation energy in eV per atom: -0.90
Space-group type: C2/m (12)

extended XYZ file:
```
12
Lattice="3.741 -6.607 0.000 3.741 6.607 0.000 -2.505 0.000 7.500" Properties=species:S:1:pos:R:3 pbc="T T T"
K 0.000 0.000 0.000
K 3.741 2.285 0.000
K 3.741 -2.285 0.000
Pa 2.489 0.000 3.750
Sb 2.489 4.429 3.750
Sb 2.489 -4.429 3.750
Se 1.261 2.125 2.223
Se 0.046 0.000 5.280
Se 1.261 -2.125 2.223
Se 3.717 2.125 5.277
Se 4.932 0.000 2.220
Se 3.717 -2.125 5.277
```

***

DFT (PBE) results for a relaxed structure of K2ScPaSe4.

Uncorrected formation energy in eV per atom: -1.46
Space-group type: P2/m (10)

extended XYZ file:
```
8
Lattice="7.099 0.000 0.000 0.000 4.092 0.000 -2.341 0.000 7.755" Properties=species:S:1:pos:R:3 pbc="T T T"
K 0.000 0.000 0.000
K 3.550 2.046 0.000
Sc -1.170 2.046 3.878
Pa 2.379 0.000 3.878
Se -0.043 0.000 5.429
Se 1.113 2.046 2.258
Se 3.646 2.046 5.497
Se 4.802 0.000 2.326
```

***

DFT (PBE) results for a relaxed structure of K3ScPa3Se8.

Uncorrected formation energy in eV per atom: -1.42
Space-group type: R-3m (166)

extended XYZ file:
```
15
Lattice="4.094 2.364 7.967 -4.094 2.364 7.967 0.000 -4.727 7.967" Properties=species:S:1:pos:R:3 pbc="T T T"
K -2.047 -1.182 7.967
K -2.047 1.182 15.934
K 0.000 2.364 7.967
Sc 0.000 0.000 11.951
Pa -4.094 0.000 11.951
Pa -2.047 1.182 3.984
Pa 2.047 1.182 3.984
Se 0.000 0.000 5.693
Se -1.977 -1.141 13.545
Se 0.000 -2.283 10.357
Se -1.977 1.141 10.357
Se 1.977 -1.141 13.545
Se 0.000 2.283 13.545
Se 1.977 1.141 10.357
Se 0.000 0.000 18.209
```

***

DFT (PBE) results for a relaxed structure of K3Sc2PaSe6.

Uncorrected formation energy in eV per atom: -1.51
Space-group type: C2/m (12)

extended XYZ file:
```
12
Lattice="3.530 -6.115 0.000 3.530 6.115 0.000 -2.355 0.000 7.696" Properties=species:S:1:pos:R:3 pbc="T T T"
K 0.000 0.000 0.000
K 3.530 2.024 0.000
K 3.530 -2.024 0.000
Sc 2.353 4.076 3.848
Sc 2.353 -4.076 3.848
Pa 2.353 0.000 3.848
Se 1.145 2.093 2.299
Se -0.064 0.000 5.395
Se 1.145 -2.093 2.299
Se 3.561 2.093 5.397
Se 4.769 0.000 2.301
Se 3.561 -2.093 5.397
```

***

DFT (PBE) results for a relaxed structure of K4ScPa3Se8.

Uncorrected formation energy in eV per atom: -1.38
Space-group type: R-3m (166)

extended XYZ file:
```
16
Lattice="4.121 2.379 7.841 -4.121 2.379 7.841 0.000 -4.758 7.841" Properties=species:S:1:pos:R:3 pbc="T T T"
K 0.000 0.000 0.000
K -2.060 -1.190 7.841
K -2.060 1.190 15.681
K 0.000 2.379 7.841
Sc 0.000 0.000 11.761
Pa -4.121 0.000 11.761
Pa -2.060 1.190 3.920
Pa 2.060 1.190 3.920
Se 0.000 0.000 5.617
Se -1.994 -1.151 13.380
Se 0.000 -2.303 10.142
Se -1.994 1.151 10.142
Se 1.994 -1.151 13.380
Se 0.000 2.303 13.380
Se 1.994 1.151 10.142
Se 0.000 0.000 17.904
```

***

One value per record, in order, for E: -6.4139, -6.7146, -6.2192, -6.3774, -6.7608, -6.3465, -5.9122, -6.1842, -6.3113, -6.0611, -6.0885, -6.4173, -5.1069, -5.1692, -4.6620, -4.7196, -4.3913, -5.4507, -5.8169, -5.3725, -5.5770 eV/atom.